# 1
A plane-wave DFT calculation with GGA-PBE was carried out for an optimized crystal structure of CaMg2Co.

The calculation puts the formation energy at 14 kJ/mol of atoms. The electronic total energy comes out at -2.925 eV/atom. The value obtained for the total magnetic moment is 0.00 Bohr magnetons per cell. The density of states at the Fermi level is 0.7038 states/eV per atom.

The space group is P4mm (No. 99) and the conventional cell measures 3.3159, 3.3159 and 7.7699 Å, with angles of 90.00, 90.00 and 90.00 degrees. Symmetry generates all atoms from Ca at (0.0000, 0.0000, 0.0000), Mg at (0.0000, 0.0000, 0.3905), Mg at (0.5000, 0.5000, 0.6502) and Co at (0.5000, 0.5000, 0.2389).

=====

# 2
A plane-wave DFT calculation with GGA-PBE was carried out for an optimized crystal structure of CaMg2Co.

The calculation puts the formation energy at 41 kJ/mol of atoms. The electronic total energy comes out at -2.652 eV/atom. The value obtained for the total magnetic moment is 3.05 Bohr magnetons per cell. The density of states at the Fermi level is 0.9554 states/eV per atom.

The space group is Cmmm (No. 65) and the conventional cell measures 5.8930, 9.5748 and 3.0760 Å, with angles of 90.00, 90.00 and 90.00 degrees. Symmetry generates all atoms from Ca at (0.0000, 0.0000, 0.0000), Mg at (0.2500, 0.2500, 0.5000) and Co at (0.0000, 0.5000, 0.0000).

=====

# 3
A plane-wave DFT calculation with GGA-PBE was carried out for an optimized crystal structure of CaMg2Co.

The calculation puts the formation energy at 27 kJ/mol of atoms. The electronic total energy comes out at -2.796 eV/atom. The value obtained for the total magnetic moment is 4.10 Bohr magnetons per cell. The density of states at the Fermi level is 1.0035 states/eV per atom.

The space group is Fm-3m (No. 225) and the conventional cell measures 6.9040, 6.9040 and 6.9040 Å, with angles of 90.00, 90.00 and 90.00 degrees. Symmetry generates all atoms from Ca at (0.0000, 0.0000, 0.0000), Mg at (0.2500, 0.2500, 0.2500) and Co at (0.0000, 0.0000, 0.5000).

=====

# 4
A plane-wave DFT calculation with GGA-PBE was carried out for an optimized crystal structure of CaMg2Co.

The calculation puts the formation energy at 36 kJ/mol of atoms. The electronic total energy comes out at -2.697 eV/atom. The value obtained for the total magnetic moment is 2.52 Bohr magnetons per cell. The density of states at the Fermi level is 0.9204 states/eV per atom.

The space group is C2/m (No. 12) and the conventional cell measures 5.8596, 10.5885 and 3.1035 Å, with angles of 90.00, 115.76 and 90.00 degrees. Symmetry generates all atoms from Ca at (0.0000, 0.0000, 0.0000), Mg at (0.2500, 0.2500, 0.5000) and Co at (0.0000, 0.5000, 0.0000).

=====

- The highest total magnetic moment belongs to which entry?
  number 3